Entry 1:
PmTaAs2 | PBE | optimized geometry

Unit cell a=3.8279 b=3.8279 c=26.1693 alpha=90.00 beta=90.00 gamma=120.00
With the nearest neighbours (Å) after each atom.
Fractional coordinates of all 12 atoms:
1 Pm 0.0000 0.0000 0.0000  6 As 2.92
2 Pm 0.3333 0.6667 0.6667  6 As 2.92
3 Pm 0.6667 0.3333 0.3333  6 As 2.92
4 Ta 0.0000 0.0000 0.5000  2 As 2.45
5 Ta 0.3333 0.6667 0.1667  2 As 2.45
6 Ta 0.6667 0.3333 0.8333  2 As 2.45
7 As 0.0000 0.0000 0.4065  1 Ta 2.45
8 As 0.0000 0.0000 0.5935  1 Ta 2.45
9 As 0.3333 0.6667 0.0731  1 Ta 2.45
10 As 0.3333 0.6667 0.2602  1 Ta 2.45
11 As 0.6667 0.3333 0.7398  1 Ta 2.45
12 As 0.6667 0.3333 0.9269  1 Ta 2.45

Calculated values
E_tot: -74.0 eV/cell
Energy of formation: 308 meV per atom
DOS(E_F): 0.814 states/eV/atom

***

Entry 2:
PmTaAs2 | PBE | optimized geometry

Unit cell a=6.8394 b=6.8394 c=6.8394 alpha=90.00 beta=90.00 gamma=90.00
With the nearest neighbours (Å) after each atom.
Fractional coordinates of all 16 atoms:
1 Pm 0.0000 0.0000 0.0000  8 As 2.96
2 Pm 0.0000 0.5000 0.5000  8 As 2.96
3 Pm 0.5000 0.0000 0.5000  8 As 2.96
4 Pm 0.5000 0.5000 0.0000  8 As 2.96
5 Ta 0.0000 0.0000 0.5000  8 As 2.96
6 Ta 0.0000 0.5000 0.0000  8 As 2.96
7 Ta 0.5000 0.0000 0.0000  8 As 2.96
8 Ta 0.5000 0.5000 0.5000  8 As 2.96
9 As 0.2500 0.2500 0.2500  4 Ta 2.96, 4 Pm 2.96
10 As 0.2500 0.2500 0.7500  4 Ta 2.96, 4 Pm 2.96
11 As 0.2500 0.7500 0.2500  4 Ta 2.96, 4 Pm 2.96
12 As 0.2500 0.7500 0.7500  4 Ta 2.96, 4 Pm 2.96
13 As 0.7500 0.2500 0.2500  4 Ta 2.96, 4 Pm 2.96
14 As 0.7500 0.2500 0.7500  4 Ta 2.96, 4 Pm 2.96
15 As 0.7500 0.7500 0.2500  4 Ta 2.96, 4 Pm 2.96
16 As 0.7500 0.7500 0.7500  4 Pm 2.96, 4 Ta 2.96

Calculated values
E_tot: -110.9 eV/cell
Energy of formation: -453 meV per atom
DOS(E_F): 0.931 states/eV/atom

***

Entry 3:
Tb3PmAs4 | PBE | optimized geometry

Unit cell a=8.3270 b=11.7754 c=4.1661 alpha=90.00 beta=90.00 gamma=90.00
With the nearest neighbours (Å) after each atom.
Fractional coordinates of all 16 atoms:
1 Tb 0.0000 0.0000 0.0000  6 As 2.92
2 Tb 0.2500 0.2500 0.5000  6 As 2.94-2.95
3 Tb 0.2500 0.7500 0.5000  6 As 2.94-2.95
4 Tb 0.5000 0.5000 0.0000  6 As 2.92
5 Tb 0.7500 0.2500 0.5000  6 As 2.94-2.95
6 Tb 0.7500 0.7500 0.5000  6 As 2.94-2.95
7 Pm 0.0000 0.5000 0.0000  6 As 2.97
8 Pm 0.5000 0.0000 0.0000  6 As 2.97
9 As 0.0000 0.2480 0.0000  5 Tb 2.92-2.95, 1 Pm 2.97
10 As 0.0000 0.7520 0.0000  5 Tb 2.92-2.95, 1 Pm 2.97
11 As 0.2459 0.0000 0.5000  4 Tb 2.92-2.94, 2 Pm 2.97
12 As 0.2541 0.5000 0.5000  4 Tb 2.92-2.94, 2 Pm 2.97
13 As 0.5000 0.2520 0.0000  5 Tb 2.92-2.95, 1 Pm 2.97
14 As 0.5000 0.7480 0.0000  5 Tb 2.92-2.95, 1 Pm 2.97
15 As 0.7459 0.5000 0.5000  4 Tb 2.92-2.94, 2 Pm 2.97
16 As 0.7541 0.0000 0.5000  4 Tb 2.92-2.94, 2 Pm 2.97

Calculated values
E_tot: -99.0 eV/cell
Energy of formation: -1535 meV per atom
DOS(E_F): 0.104 states/eV/atom